The following is a DFT calculation (PBE) of a relaxed Sm3RuI3 crystal.

Energy relative to the elements, uncorrected   -1.00 eV/atom
Magnetization   0.00 μB/atom
Theoretical density   6.4 Mg/m³

```
data_Sm3RuI3
_chemical_formula_sum 'Sm6 Ru2 I6'
_symmetry_space_group_name_H-M 'P 1'
_symmetry_Int_Tables_number 1
_symmetry_space_group_name_Hall 'P 1'
_cell_length_a 4.301
_cell_length_b 9.067
_cell_length_c 12.501
_cell_angle_alpha 93.43
_cell_angle_beta 90.00
_cell_angle_gamma 90.00
loop_
_atom_site_label
_atom_site_type_symbol
_atom_site_fract_x
_atom_site_fract_y
_atom_site_fract_z
_atom_site_occupancy
Sm1 Sm 0.250 0.272 0.604 1
Sm2 Sm 0.750 0.728 0.396 1
Sm3 Sm 0.250 0.874 0.623 1
Sm4 Sm 0.750 0.126 0.377 1
Sm5 Sm 0.250 0.900 0.181 1
Sm6 Sm 0.750 0.100 0.819 1
Ru1 Ru 0.250 0.937 0.403 1
Ru2 Ru 0.750 0.063 0.597 1
I1 I 0.250 0.423 0.366 1
I2 I 0.750 0.577 0.634 1
I3 I 0.250 0.857 0.892 1
I4 I 0.750 0.143 0.108 1
I5 I 0.250 0.353 0.862 1
I6 I 0.750 0.647 0.138 1
```